1.
LiIn2Sb (SCAN, PBEsol geometry); symmetry = No. 123; magnetic moment = 0.00 μB per cell; total energy = -26.7819 eV per atom; formation energy without anion corrections = -0.176 eV per atom
1.0
4.378 0.000 0.000
0.000 4.378 0.000
0.000 0.000 4.890
Li In Sb
1 2 1
Direct
0.000 0.000 0.000
0.000 0.500 0.500
0.500 0.000 0.500
0.500 0.500 0.000


2.
MgSc8 (SCAN, PBEsol geometry); ΔH_f (0 K) = 0.0381 eV/atom; symmetry = No. 139; magnetic moment = 6.47 μB per cell; total energy = -13.1697 eV per atom
1.0
-4.810 4.810 2.288
4.810 -4.810 2.288
4.810 4.810 -2.288
Mg Sc
1 8
Direct
0.000 0.000 0.000
0.000 0.335 0.335
0.000 0.665 0.665
0.332 0.332 0.664
0.332 0.668 0.000
0.335 0.000 0.335
0.665 0.000 0.665
0.668 0.332 0.000
0.668 0.668 0.336


3.
MgFePt2 (SCAN, PBEsol geometry); ΔH_f (0 K) = -0.3988 eV/atom; symmetry = No. 99; magnetic moment = 3.70 μB per cell; total energy = -41.2712 eV per atom
1.0
3.303 0.000 0.000
0.000 3.303 0.000
0.000 0.000 5.489
Mg Fe Pt
1 1 2
Direct
0.000 0.000 0.000
0.500 0.500 0.706
0.000 0.000 0.519
0.500 0.500 0.227


4.
SrCdAg2 (SCAN, PBEsol geometry); ΔH_f (0 K) = -0.2238 eV/atom; symmetry = No. 8; magnetic moment = 0.00 μB per cell; total energy = -29.0798 eV per atom
1.0
4.079 -2.353 0.000
4.079 2.353 0.000
-2.726 0.000 5.226
Sr Cd Ag
1 1 2
Direct
0.000 0.000 0.000
0.795 0.795 0.386
0.205 0.205 0.615
0.513 0.513 0.540


5.
LiPCl2 (SCAN, PBEsol geometry); symmetry = No. 99; magnetic moment = 0.00 μB per cell; total energy = -7.5521 eV per atom; formation energy without anion corrections = -0.366 eV per atom
1.0
3.147 0.000 0.000
0.000 3.147 0.000
0.000 0.000 7.000
Li P Cl
1 1 2
Direct
0.000 0.000 0.000
0.500 0.500 0.271
0.000 0.000 0.525
0.500 0.500 0.913


6.
AlGaP2O8 (SCAN, PBEsol geometry); symmetry = No. 5; magnetic moment = 0.00 μB per cell; total energy = -10.5234 eV per atom; formation energy without anion corrections = -2.628 eV per atom
1.0
3.558 -3.546 0.000
3.558 3.546 0.000
-0.070 0.000 6.991
Al Ga P O
1 1 2 8
Direct
0.000 0.000 0.000
0.613 0.387 0.500
0.116 0.500 0.749
0.500 0.884 0.251
0.035 0.324 0.917
0.062 0.791 0.805
0.209 0.938 0.195
0.416 0.464 0.711
0.536 0.584 0.289
0.572 0.036 0.436
0.676 0.965 0.083
0.964 0.428 0.564


7.
CuHgSe2 (SCAN, PBEsol geometry); symmetry = No. 12; magnetic moment = 0.00 μB per cell; total energy = -30.9869 eV per atom; formation energy without anion corrections = -0.106 eV per atom
1.0
3.652 -1.788 0.000
3.652 1.788 0.000
-1.884 0.000 6.327
Cu Hg Se
1 1 2
Direct
0.000 0.000 0.000
0.500 0.500 0.500
0.323 0.323 0.787
0.677 0.677 0.213


8.
Li3MnO2F2 (SCAN, PBEsol geometry); excess energy over the best structure of this formula in the dataset = 4.7 kJ/mol of atoms; symmetry = No. 13; magnetic moment = 8.00 μB per cell; total energy = -8.2492 eV per atom; formation energy without anion corrections = -2.628 eV per atom
1.0
4.960 0.000 0.000
0.000 5.885 0.000
-1.419 0.000 4.744
Li Mn O F
6 2 4 4
Direct
0.000 0.116 0.250
0.000 0.363 0.750
0.000 0.637 0.250
0.000 0.884 0.750
0.500 0.370 0.250
0.500 0.630 0.750
0.500 0.108 0.750
0.500 0.892 0.250
0.265 0.119 0.985
0.265 0.881 0.485
0.735 0.119 0.515
0.735 0.881 0.015
0.250 0.383 0.502
0.250 0.617 0.002
0.750 0.383 0.998
0.750 0.617 0.498


9.
LiTl2RhN (SCAN, PBEsol geometry); symmetry = No. 123; magnetic moment = 2.21 μB per cell; total energy = -37.1936 eV per atom; formation energy without anion corrections = 0.840 eV per atom
1.0
5.122 0.000 0.000
0.000 5.122 0.000
0.000 0.000 4.580
Li Tl Rh N
1 2 1 1
Direct
0.000 0.000 0.000
0.000 0.500 0.500
0.500 0.000 0.500
0.000 0.000 0.500
0.500 0.500 0.000


10.
Ta2MnPt (SCAN, PBEsol geometry); ΔH_f (0 K) = -0.4515 eV/atom; symmetry = No. 71; magnetic moment = 2.44 μB per cell; total energy = -55.8552 eV per atom
1.0
-1.889 2.039 3.958
1.889 -2.039 3.958
1.889 2.039 -3.958
Ta Mn Pt
2 1 1
Direct
0.245 0.245 0.000
0.755 0.755 0.000
0.000 0.500 0.500
0.500 0.000 0.500


11.
AgRhSN2 (SCAN, PBEsol geometry); symmetry = No. 123; magnetic moment = 1.79 μB per cell; total energy = -16.7080 eV per atom; formation energy without anion corrections = 1.962 eV per atom
1.0
3.842 0.000 0.000
0.000 3.842 0.000
0.000 0.000 5.008
Ag Rh S N
1 1 1 2
Direct
0.000 0.000 0.000
0.500 0.500 0.500
0.000 0.000 0.500
0.000 0.500 0.000
0.500 0.000 0.000


12.
Rb3RhC (SCAN, PBEsol geometry); ΔH_f (0 K) = 1.5147 eV/atom; symmetry = No. 221; magnetic moment = 2.72 μB per cell; total energy = -19.7031 eV per atom
1.0
5.799 0.000 0.000
0.000 5.799 0.000
0.000 0.000 5.799
Rb Rh C
3 1 1
Direct
0.000 0.000 0.500
0.000 0.500 0.000
0.500 0.000 0.000
0.000 0.000 0.000
0.500 0.500 0.500


13.
KCu2Mo (SCAN, PBEsol geometry); excess energy over the best structure of this formula in the dataset = 9.4 kJ/mol of atoms; ΔH_f (0 K) = 0.8174 eV/atom; symmetry = No. 160; magnetic moment = 0.00 μB per cell; total energy = -17.5858 eV per atom
1.0
1.373 0.793 9.882
-1.373 0.793 9.882
0.000 -1.585 9.882
K Cu Mo
1 2 1
Direct
0.000 0.000 0.000
0.241 0.241 0.241
0.510 0.510 0.510
0.771 0.771 0.771


14.
Ba2CaGaN (SCAN, PBEsol geometry); symmetry = No. 123; magnetic moment = 1.30 μB per cell; total energy = -21.6618 eV per atom; formation energy without anion corrections = 1.219 eV per atom
1.0
6.552 0.000 0.000
0.000 6.552 0.000
0.000 0.000 5.112
Ba Ca Ga N
2 1 1 1
Direct
0.000 0.500 0.000
0.500 0.000 0.000
0.000 0.000 0.000
0.000 0.000 0.500
0.500 0.500 0.500


15.
LaCoAs (SCAN, PBEsol geometry); ΔH_f (0 K) = -0.0562 eV/atom; symmetry = No. 216; magnetic moment = 2.06 μB per cell; total energy = -26.9228 eV per atom
1.0
0.000 3.362 3.362
3.362 0.000 3.362
3.362 3.362 0.000
La Co As
1 1 1
Direct
0.000 0.000 0.000
0.750 0.750 0.750
0.250 0.250 0.250


16.
LiTl2Hg (SCAN, PBEsol geometry); excess energy over the best structure of this formula in the dataset = 2.4 kJ/mol of atoms; ΔH_f (0 K) = -0.1529 eV/atom; symmetry = No. 44; magnetic moment = 0.00 μB per cell; total energy = -53.9710 eV per atom
1.0
-1.741 2.605 5.184
1.741 -2.605 5.184
1.741 2.605 -5.184
Li Tl Hg
1 2 1
Direct
0.000 0.000 0.000
0.237 0.737 0.500
0.518 0.518 0.000
0.795 0.295 0.500


17.
CoNiAg (SCAN, PBEsol geometry); ΔH_f (0 K) = 0.3196 eV/atom; symmetry = No. 156; magnetic moment = 2.57 μB per cell; total energy = -21.2953 eV per atom
1.0
2.618 0.000 0.000
-1.309 2.267 0.000
0.000 0.000 6.377
Co Ni Ag
1 1 1
Direct
0.000 0.000 0.000
0.333 0.667 0.710
0.667 0.333 0.356


18.
TlTePRu2 (SCAN, PBEsol geometry); symmetry = No. 123; magnetic moment = 2.37 μB per cell; total energy = -37.2059 eV per atom; formation energy without anion corrections = 0.726 eV per atom
1.0
4.432 0.000 0.000
0.000 4.432 0.000
0.000 0.000 5.211
Tl Te P Ru
1 1 1 2
Direct
0.000 0.000 0.000
0.500 0.500 0.000
0.500 0.500 0.500
0.000 0.500 0.500
0.500 0.000 0.500


19.
CdAs2Ru (SCAN, PBEsol geometry); ΔH_f (0 K) = 0.2513 eV/atom; symmetry = No. 139; magnetic moment = 0.00 μB per cell; total energy = -26.1542 eV per atom
1.0
-2.153 2.153 3.567
2.153 -2.153 3.567
2.153 2.153 -3.567
Cd As Ru
1 2 1
Direct
0.000 0.000 0.000
0.250 0.750 0.500
0.750 0.250 0.500
0.500 0.500 0.000


20.
LiHoIn2 (SCAN, PBEsol geometry); ΔH_f (0 K) = -0.5202 eV/atom; symmetry = No. 225; magnetic moment = 0.00 μB per cell; total energy = -30.0578 eV per atom
1.0
0.000 3.554 3.554
3.554 0.000 3.554
3.554 3.554 0.000
Li Ho In
1 1 2
Direct
0.000 0.000 0.000
0.500 0.500 0.500
0.250 0.250 0.250
0.750 0.750 0.750